DFT (PBEsol) results for a geometry-optimized CrHgPb structure.

Cell lengths 3.4568, 4.7294, 4.7294 Å; angles 120.00, 90.00, 90.00 degrees
With the nearest neighbours (Å) after each atom.
Element x y z (fractional)
Cr: 0.9118 0.0000 0.0000  3 Hg 2.79, 3 Pb 3.10
Hg: 0.7520 0.3333 0.6667  3 Cr 2.79, 3 Pb 3.09
Pb: 0.3362 0.6667 0.3333  6 Hg 3.09-3.40, 6 Cr 3.10-3.38

Summary:
Symmetry: No. 156
M_tot (μB/f.u.): 3.93
Formation energy (meV per atom): 538